VASP calculation (PBE) on a relaxed SrLaBr2 crystal.

a = 3.897 Å, b = 7.147 Å, c = 10.014 Å
α = 90.00°, β = 90.00°, γ = 90.00°
Space group Cmmm (No. 65)
Symmetry-distinct sites (fractional):
Sr 0.000 0.000 0.000
La 0.000 0.000 0.500
Br 0.000 0.500 0.255

- Uncorrected formation energy: -1.217 eV/atom
- Crystal system: orthorhombic
- Final energy: -3.706 eV/atom
- Distance to the lowest polymorph of the same formula: 0.43 eV per formula unit